1.
# RbMgNO2

An optimized crystal structure of RbMgNO2 (PBE-GGA, the Alexandria database).

energy relative to the elements, uncorrected: 30.4 kcal/mol of atoms
calculated volume: 16.4 Å³/atom
size of the total moment: 1.0 μB/f.u.
DOS(E_F): 0.583 states/eV/atom

Lattice parameters (Å, degrees): 4.290 4.290 4.451 90.00 90.00 90.00
Space group P4/mmm (No. 123)
One atom of each set of equivalent atoms:
Rb: 0.000 0.000 0.000
Mg: 0.500 0.500 0.500
N: 0.000 0.000 0.500
O: 0.000 0.500 0.000

2.
# RbMgNO2

An optimized crystal structure of RbMgNO2 (PBE-GGA, the Alexandria database).

energy relative to the elements, uncorrected: -5.5 kcal/mol of atoms
calculated volume: 15.6 Å³/atom
size of the total moment: 4.0 μB/f.u.
DOS(E_F): 0.337 states/eV/atom

Lattice parameters (Å, degrees): 4.151 4.151 4.537 90.00 90.00 90.00
Space group P4/mmm (No. 123)
One atom of each set of equivalent atoms:
Rb: 0.000 0.000 0.000
Mg: 0.500 0.500 0.500
N: 0.500 0.500 0.000
O: 0.000 0.500 0.500